# 1
DFT (GGA-PBE) results for a relaxed structure of Ce2Ge3PIr4.

a = 4.272 Å, b = 4.272 Å, c = 9.893 Å
α = 90.00°, β = 90.00°, γ = 90.00°
Last column: magnetic moment on the atom in μB.
Element x y z (fractional)
P 0.500 0.500 0.500  0.00
Ir 0.500 0.000 0.616  -0.01
Ir 0.000 0.500 0.384  -0.01
Ir 0.000 0.000 0.000  0.00
Ir 0.500 0.500 0.000  0.01
Ge 0.000 0.000 0.500  0.01
Ge 0.500 0.000 0.865  0.00
Ge 0.000 0.500 0.135  0.00
Ce 0.500 0.000 0.259  0.47
Ce 0.000 0.500 0.741  0.47

Output
final energy: -7.49 eV/atom
mass density: 11.9 g/cm³
D(E_F): 0.80 states/eV per atom
energy of formation: -0.829 eV/atom
symmetry: P-4m2 (115)


# 2
DFT (GGA-PBE) results for a relaxed structure of La3As2Au.

a = 5.069 Å, b = 7.386 Å, c = 10.460 Å
α = 90.00°, β = 90.00°, γ = 110.07°
Element x y z (fractional)
La 0.373 0.747 0.951
La 0.627 0.253 0.049
La 0.373 0.747 0.549
La 0.104 0.207 0.750
La 0.627 0.253 0.451
La 0.896 0.793 0.250
As 0.487 0.974 0.250
As 0.000 0.000 0.000
As 0.000 0.000 0.500
As 0.513 0.026 0.750
Au 0.238 0.477 0.250
Au 0.762 0.523 0.750

Output
final energy: -5.46 eV/atom
mass density: 6.9 g/cm³
D(E_F): 0.69 states/eV per atom
energy of formation: -0.905 eV/atom
symmetry: Cmcm (63)


# 3
DFT (GGA-PBE) results for a relaxed structure of AlSiPN4.

a = 4.456 Å, b = 4.667 Å, c = 8.498 Å
α = 86.85°, β = 82.97°, γ = 65.20°
Element x y z (fractional)
N 0.290 0.946 0.599
N 0.218 0.738 0.282
N 0.415 0.944 0.239
N 0.711 0.261 0.467
N 0.856 0.207 0.075
N 0.953 0.561 0.640
N 0.463 0.730 0.914
N 0.684 0.174 0.772
Si 0.590 0.855 0.728
Si 0.284 0.042 0.058
P 0.922 0.235 0.610
P 0.570 0.342 0.956
Al 0.769 0.032 0.281
Al 0.296 0.605 0.486

Output
final energy: -7.44 eV/atom
mass density: 3.0 g/cm³
raw formation energy: -0.60 eV per atom
D(E_F): 0.00 states/eV per atom
E above lowest polymorph: 0.180 eV/atom
symmetry: P1 (1)


# 4
DFT (GGA-PBE) results for a relaxed structure of Li3P.

a = 4.237 Å, b = 4.237 Å, c = 7.571 Å
α = 90.00°, β = 90.00°, γ = 120.00°
Element x y z (fractional)
P 0.667 0.333 0.250
P 0.333 0.667 0.750
Li 0.333 0.667 0.084
Li 0.333 0.667 0.416
Li 0.667 0.333 0.584
Li 0.000 0.000 0.250
Li 0.000 0.000 0.750
Li 0.667 0.333 0.916

Output
final energy: -3.48 eV/atom
mass density: 1.5 g/cm³
energy of formation: -0.693 eV/atom
symmetry: P6_3/mmc (194)


# 5
DFT (GGA-PBE) results for a relaxed structure of PaSi2MoPt.

a = 4.194 Å, b = 4.194 Å, c = 5.790 Å
α = 111.23°, β = 111.23°, γ = 90.00°
Element x y z (fractional)
Pa 0.000 0.000 0.000
Mo 0.750 0.250 0.500
Si 0.380 0.380 0.760
Si 0.620 0.620 0.240
Pt 0.250 0.750 0.500

Output
final energy: -8.12 eV/atom
mass density: 11.0 g/cm³
raw formation energy: -0.68 eV per atom
D(E_F): 1.08 states/eV per atom
symmetry: I-4m2 (119)


# 6
DFT (GGA-PBE) results for a relaxed structure of Zr2ZnSiAu.

a = 4.984 Å, b = 4.984 Å, c = 4.348 Å
α = 90.00°, β = 90.00°, γ = 90.00°
Element x y z (fractional)
Zr 0.000 0.500 0.000
Zr 0.500 0.000 0.000
Zn 0.000 0.000 0.500
Au 0.500 0.500 0.500
Si 0.000 0.000 0.000

Output
final energy: -5.29 eV/atom
mass density: 7.3 g/cm³
raw formation energy: 0.13 eV per atom
D(E_F): 1.03 states/eV per atom
symmetry: P4/mmm (123)


# 7
DFT (GGA-PBE) results for a relaxed structure of IrPdS2Cl.

a = 4.561 Å, b = 4.561 Å, c = 5.034 Å
α = 90.00°, β = 90.00°, γ = 90.00°
Element x y z (fractional)
S 0.000 0.500 0.000
S 0.500 0.000 0.000
Ir 0.000 0.000 0.000
Pd 0.500 0.500 0.500
Cl 0.000 0.000 0.500

Output
final energy: -4.22 eV/atom
mass density: 6.3 g/cm³
raw formation energy: 0.61 eV per atom
D(E_F): 1.64 states/eV per atom
E above lowest polymorph: 0.000 eV/atom
symmetry: P4/mmm (123)


# 8
DFT (GGA-PBE) results for a relaxed structure of KV5S8.

a = 8.882 Å, b = 8.882 Å, c = 8.702 Å
α = 76.43°, β = 76.43°, γ = 21.46°
Last column: magnetic moment on the atom in μB.
Element x y z (fractional)
V 0.000 0.000 0.000  -0.69
V 0.707 0.707 0.662  1.54
V 0.293 0.293 0.338  1.54
V 0.353 0.353 0.990  0.96
V 0.647 0.647 0.010  0.96
S 0.835 0.835 0.497  -0.06
S 0.761 0.761 0.151  -0.05
S 0.165 0.165 0.503  -0.06
S 0.085 0.085 0.183  -0.04
S 0.239 0.239 0.849  -0.05
S 0.572 0.572 0.827  -0.02
S 0.428 0.428 0.173  -0.02
S 0.915 0.915 0.817  -0.04
K 0.500 0.500 0.500  0.00

Output
final energy: -6.70 eV/atom
mass density: 3.7 g/cm³
raw formation energy: -1.00 eV per atom
D(E_F): 0.54 states/eV per atom
symmetry: C2/m (12)


# 9
DFT (GGA-PBE) results for a relaxed structure of Rb3Pa3InTe8.

a = 9.182 Å, b = 9.181 Å, c = 10.019 Å
α = 117.27°, β = 90.00°, γ = 120.00°
Last column: magnetic moment on the atom in μB.
Element x y z (fractional)
Te 0.710 0.954 0.698  -0.03
Te 0.756 0.046 0.302  -0.03
Te 0.244 0.954 0.698  -0.03
Te 0.244 0.487 0.698  -0.03
Te 0.290 0.046 0.302  -0.03
Te 0.756 0.513 0.302  -0.03
Te 0.734 0.469 0.703  -0.03
Te 0.266 0.531 0.297  -0.03
Pa 0.500 0.000 0.500  1.00
Pa 0.000 0.500 0.500  1.00
Pa 0.500 0.500 0.500  1.00
Rb 0.000 0.500 0.000  0.00
Rb 0.000 0.000 0.000  0.00
Rb 0.500 0.500 0.000  0.00
In 0.000 0.000 0.500  -0.02

Output
final energy: -4.81 eV/atom
mass density: 5.6 g/cm³
raw formation energy: -0.86 eV per atom
D(E_F): 1.01 states/eV per atom
symmetry: R-3m (166)


# 10
DFT (GGA-PBE) results for a relaxed structure of TiVMo6.

a = 5.543 Å, b = 5.543 Å, c = 5.543 Å
α = 110.26°, β = 110.26°, γ = 110.26°
Element x y z (fractional)
Ti 0.000 0.000 0.000
Mo 0.749 0.749 0.254
Mo 0.251 0.746 0.251
Mo 0.746 0.251 0.251
Mo 0.749 0.254 0.749
Mo 0.251 0.251 0.746
Mo 0.254 0.749 0.749
V 0.500 0.500 0.500

Output
final energy: -10.10 eV/atom
mass density: 8.8 g/cm³
D(E_F): 1.00 states/eV per atom
E above lowest polymorph: 0.000 eV/atom
energy of formation: 0.154 eV/atom
symmetry: R-3m (166)


# 11
DFT (GGA-PBE) results for a relaxed structure of DyMgAg4.

a = 5.238 Å, b = 3.671 Å, c = 7.345 Å
α = 75.63°, β = 102.76°, γ = 69.39°
Element x y z (fractional)
Ag 0.521 0.814 0.346
Ag 0.980 0.349 0.815
Ag 0.482 0.180 0.651
Ag 0.023 0.645 0.181
Mg 0.001 0.998 0.498
Dy 0.501 0.497 0.998

Output
final energy: -3.14 eV/atom
mass density: 8.5 g/cm³
D(E_F): 0.44 states/eV per atom
E above lowest polymorph: 0.000 eV/atom
energy of formation: -0.211 eV/atom
symmetry: P-1 (2)


# 12
DFT (GGA-PBE) results for a relaxed structure of Te2BrN.

a = 9.103 Å, b = 9.103 Å, c = 9.103 Å
α = 21.70°, β = 21.70°, γ = 21.70°
Element x y z (fractional)
Te 0.107 0.107 0.107
Te 0.893 0.893 0.893
Br 0.000 0.000 0.000
N 0.500 0.500 0.500

Output
final energy: -3.26 eV/atom
mass density: 6.4 g/cm³
raw formation energy: 0.81 eV per atom
D(E_F): 0.42 states/eV per atom
E above lowest polymorph: 0.239 eV/atom
symmetry: R-3m (166)